# GdRe

Crystalline GdRe at its relaxed geometry (GGA-PBE, OQMD).

The value obtained for the energy of formation is 2.37 eV/atom. As for the space-group type: F-43m (216). As for the energy above the most stable polymorph in this dataset: 1.530 eV/atom.

Lattice parameters (Å, degrees): 4.4816 4.4816 4.4816 60.00 60.00 60.00
Sites, in units of the cell vectors:
Gd (0.0000, 0.0000, 0.0000)
Re (0.7500, 0.7500, 0.7500)